Material: TlCuReIr
Method: DFT, GGA-PBE
State: optimized geometry

The structure in extended XYZ format:
```
16
Lattice="6.3503 0.0000 0.0000 0.0000 6.3503 0.0000 0.0000 0.0000 6.3503" Properties=species:S:1:pos:R:3 pbc="T T T"
Tl 0.0000 0.0000 0.0000
Tl 0.0000 3.1751 3.1751
Tl 3.1751 0.0000 3.1751
Tl 3.1751 3.1751 0.0000
Cu 1.5876 1.5876 1.5876
Cu 1.5876 4.7627 4.7627
Cu 4.7627 1.5876 4.7627
Cu 4.7627 4.7627 1.5876
Re 1.5876 1.5876 4.7627
Re 1.5876 4.7627 1.5876
Re 4.7627 1.5876 1.5876
Re 4.7627 4.7627 4.7627
Ir 0.0000 0.0000 3.1751
Ir 0.0000 3.1751 0.0000
Ir 3.1751 0.0000 0.0000
Ir 3.1751 3.1751 3.1751
```

Calculated values
Space group: F-43m
Raw total energy in eV per atom: -6.10
E above lowest polymorph in meV/atom: 0
Total magnetic moment in μB/atom: 0.0065

---

Material: CuIr3S5
Method: DFT, GGA-PBE
State: optimized geometry

The structure in extended XYZ format:
```
9
Lattice="5.7181 0.0000 0.0000 -2.8590 4.9520 0.0000 0.0000 0.0000 6.3806" Properties=species:S:1:pos:R:3 pbc="T T T"
Cu 0.0000 0.0000 0.0000
Ir -1.4295 2.4760 3.1903
Ir 2.8590 0.0000 3.1903
Ir 1.4295 2.4760 3.1903
S 0.0000 0.0000 3.1903
S 0.0000 3.3013 1.5240
S 0.0000 3.3013 4.8566
S 2.8590 1.6507 1.5240
S 2.8590 1.6507 4.8566
```

Calculated values
Space group: P6/mmm
Raw total energy in eV per atom: -5.36
Total magnetic moment in μB/atom: 0.0202

---

Material: Cu2Ir2Se3S
Method: DFT, GGA-PBE
State: optimized geometry

The structure in extended XYZ format:
```
16
Lattice="12.1583 0.0000 0.0000 0.0000 5.5076 0.0000 -2.4761 0.0000 4.9398" Properties=species:S:1:pos:R:3 pbc="T T T"
Cu 0.5539 0.0000 1.7446
Cu 3.0491 2.7538 3.1952
Cu 6.6330 2.7538 1.7446
Cu 9.1283 0.0000 3.1952
Ir -0.7307 2.6036 4.3513
Ir 4.3337 5.3574 0.5885
Ir 5.3484 5.3574 4.3513
Ir 10.4129 2.6036 0.5885
Se -1.2380 4.0427 2.4699
Se 2.4100 4.0353 1.2373
Se 1.1931 1.2815 3.7025
Se 4.8411 1.2889 2.4699
Se 8.4891 1.2815 1.2373
Se 7.2722 4.0353 3.7025
S 0.0000 1.3306 0.0000
S 6.0791 4.0844 0.0000
```

Calculated values
Space group: C2
Raw total energy in eV per atom: -4.95
Total magnetic moment in μB/atom: 0.0001

---

Material: TlCuIrSe2S
Method: DFT, GGA-PBE
State: optimized geometry

The structure in extended XYZ format:
```
12
Lattice="1.8829 -7.2084 0.0000 1.8829 7.2084 0.0000 0.0000 0.0000 9.4217" Properties=species:S:1:pos:R:3 pbc="T T T"
Tl 1.8829 3.6916 7.0662
Tl 1.8829 -3.6916 2.3554
Cu 1.8829 6.7962 2.3554
Cu 1.8829 -6.7962 7.0662
Ir 1.8829 0.0000 0.0000
Ir 1.8829 0.0000 4.7108
Se 1.8829 5.5104 0.3325
Se 1.8829 5.5104 4.3783
Se 1.8829 -5.5104 5.0433
Se 1.8829 -5.5104 9.0892
S 1.8829 0.8801 2.3554
S 1.8829 -0.8801 7.0662
```

Calculated values
Space group: Cmcm
Raw total energy in eV per atom: -4.51
Total magnetic moment in μB/atom: 0.0708

---

Material: TlCu3IrS4
Method: DFT, GGA-PBE
State: optimized geometry

The structure in extended XYZ format:
```
9
Lattice="5.7765 0.0000 0.0000 0.0000 5.7765 0.0000 0.0000 0.0000 5.7765" Properties=species:S:1:pos:R:3 pbc="T T T"
Tl 0.0000 0.0000 0.0000
Cu 0.0000 2.8882 2.8882
Cu 2.8882 0.0000 2.8882
Cu 2.8882 2.8882 0.0000
Ir 2.8882 2.8882 2.8882
S 1.5736 1.5736 1.5736
S 1.5736 4.2029 4.2029
S 4.2029 1.5736 4.2029
S 4.2029 4.2029 1.5736
```

Calculated values
Space group: P-43m
Raw total energy in eV per atom: -4.31
Total magnetic moment in μB/atom: 0.0036

---

Material: TlCu2IrS4
Method: DFT, GGA-PBE
State: optimized geometry

The structure in extended XYZ format:
```
16
Lattice="7.2914 0.0000 0.0000 0.0000 9.1428 2.7734 0.0000 -9.1428 2.7734" Properties=species:S:1:pos:R:3 pbc="T T T"
Tl 1.8228 -5.7535 2.7734
Tl 5.4685 5.7535 2.7734
Cu 0.0000 0.0000 1.5926
Cu 1.8228 -1.9840 4.1408
Cu 3.6457 0.0000 1.5926
Cu 5.4685 1.9840 4.1408
Ir 1.8228 -2.3720 1.4057
Ir 5.4685 2.3720 1.4057
S 0.0096 -1.9793 2.7076
S 1.8228 -0.3740 0.2106
S 1.8228 5.1420 2.6727
S 3.6361 -1.9793 2.7076
S 3.6553 1.9793 2.7076
S 5.4685 0.3740 0.2106
S 5.4685 -5.1420 2.6727
S 7.2818 1.9793 2.7076
```

Calculated values
Space group: Ama2
Raw total energy in eV per atom: -4.48
Total magnetic moment in μB/atom: 0.0003

---

Material: ScCuSbIr
Method: DFT, GGA-PBE
State: optimized geometry

The structure in extended XYZ format:
```
16
Lattice="6.4833 0.0000 0.0000 0.0000 6.4833 0.0000 0.0000 0.0000 6.4833" Properties=species:S:1:pos:R:3 pbc="T T T"
Sc 0.0000 0.0000 0.0000
Sc 0.0000 3.2416 3.2416
Sc 3.2416 0.0000 3.2416
Sc 3.2416 3.2416 0.0000
Cu 1.6208 1.6208 1.6208
Cu 1.6208 4.8625 4.8625
Cu 4.8625 1.6208 4.8625
Cu 4.8625 4.8625 1.6208
Sb 0.0000 0.0000 3.2416
Sb 0.0000 3.2416 0.0000
Sb 3.2416 0.0000 0.0000
Sb 3.2416 3.2416 3.2416
Ir 1.6208 1.6208 4.8625
Ir 1.6208 4.8625 1.6208
Ir 4.8625 1.6208 1.6208
Ir 4.8625 4.8625 4.8625
```

Calculated values
Space group: F-43m
Raw total energy in eV per atom: -6.21
E above lowest polymorph in meV/atom: 0
Total magnetic moment in μB/atom: 0.0002

---

Material: ScCuSbIr
Method: DFT, GGA-PBE
State: optimized geometry

The structure in extended XYZ format:
```
16
Lattice="6.5343 0.0000 0.0000 0.0000 6.5343 0.0000 0.0000 0.0000 6.5343" Properties=species:S:1:pos:R:3 pbc="T T T"
Sc 0.0000 0.0000 0.0000
Sc 0.0000 3.2672 3.2672
Sc 3.2672 0.0000 3.2672
Sc 3.2672 3.2672 0.0000
Cu 0.0000 0.0000 3.2672
Cu 0.0000 3.2672 0.0000
Cu 3.2672 0.0000 0.0000
Cu 3.2672 3.2672 3.2672
Sb 1.6336 1.6336 1.6336
Sb 1.6336 4.9007 4.9007
Sb 4.9007 1.6336 4.9007
Sb 4.9007 4.9007 1.6336
Ir 1.6336 1.6336 4.9007
Ir 1.6336 4.9007 1.6336
Ir 4.9007 1.6336 1.6336
Ir 4.9007 4.9007 4.9007
```

Calculated values
Space group: F-43m
Raw total energy in eV per atom: -5.97
E above lowest polymorph in meV/atom: 238
Total magnetic moment in μB/atom: 0.0002

---

Material: ScCuSbIr
Method: DFT, GGA-PBE
State: optimized geometry

The structure in extended XYZ format:
```
16
Lattice="6.4562 0.0000 0.0000 0.0000 6.4562 0.0000 0.0000 0.0000 6.4562" Properties=species:S:1:pos:R:3 pbc="T T T"
Sc 0.0000 0.0000 0.0000
Sc 0.0000 3.2281 3.2281
Sc 3.2281 0.0000 3.2281
Sc 3.2281 3.2281 0.0000
Cu 1.6140 1.6140 1.6140
Cu 1.6140 4.8421 4.8421
Cu 4.8421 1.6140 4.8421
Cu 4.8421 4.8421 1.6140
Sb 1.6140 1.6140 4.8421
Sb 1.6140 4.8421 1.6140
Sb 4.8421 1.6140 1.6140
Sb 4.8421 4.8421 4.8421
Ir 0.0000 0.0000 3.2281
Ir 0.0000 3.2281 0.0000
Ir 3.2281 0.0000 0.0000
Ir 3.2281 3.2281 3.2281
```

Calculated values
Space group: F-43m
Raw total energy in eV per atom: -6.09
E above lowest polymorph in meV/atom: 116
Total magnetic moment in μB/atom: 0.0010

---

Material: Sc2CuIr
Method: DFT, GGA-PBE
State: optimized geometry

The structure in extended XYZ format:
```
8
Lattice="4.5777 0.0000 0.0000 0.0000 4.5777 0.0000 0.0000 0.0000 6.4642" Properties=species:S:1:pos:R:3 pbc="T T T"
Sc 0.0000 2.2889 1.6161
Sc 0.0000 2.2889 4.8482
Sc 2.2889 0.0000 1.6161
Sc 2.2889 0.0000 4.8482
Cu 0.0000 0.0000 0.0000
Cu 2.2889 2.2889 3.2321
Ir 0.0000 0.0000 3.2321
Ir 2.2889 2.2889 0.0000
```

Calculated values
Space group: I4/mmm
Raw total energy in eV per atom: -7.01
Total magnetic moment in μB/atom: 0.0005
Formation energy in eV per atom: -0.703

---

Material: Sc2CuIr
Method: DFT, GGA-PBE
State: optimized geometry

The structure in extended XYZ format:
```
4
Lattice="4.6034 0.0000 0.0000 0.0000 4.6034 0.0000 0.0000 0.0000 3.1885" Properties=species:S:1:pos:R:3 pbc="T T T"
Sc 0.0000 2.3017 0.0000
Sc 2.3017 0.0000 0.0000
Cu 0.0000 0.0000 1.5943
Ir 2.3017 2.3017 1.5943
```

Calculated values
Space group: P4/mmm
Raw total energy in eV per atom: -6.99
Total magnetic moment in μB/atom: 0.0014
Formation energy in eV per atom: -0.681